# Ca5Ac2

Ca5Ac2 after structural relaxation (PBE, Alexandria via LeMat-Bulk).

It has space group I4/mmm (No. 139), with a = 3.952 Å, b = 3.952 Å, c = 38.673 Å, α = 90.00°, β = 90.00° and γ = 90.00°. Symmetry generates all atoms from Ca at (0.000, 0.000, 0.000), Ca at (0.000, 0.000, 0.141), Ca at (0.000, 0.000, 0.430) and Ac at (0.000, 0.000, 0.285).

The value obtained for the excess energy over the best structure of this formula in the dataset is 0 meV/atom. For the energy relative to the elements, the calculation gives 0.84 kJ per mole of atoms. The density of states at the Fermi level comes out at 1.4560 states/eV per atom. The crystal system is tetragonal.

# Ac2YPt3O12

Ac2YPt3O12 after structural relaxation (PBE, Alexandria via LeMat-Bulk).

It has space group R-3m (No. 166, hexagonal axes), with a = 7.1532 Å, b = 7.1532 Å, c = 16.4630 Å, α = 90.00°, β = 90.00° and γ = 120.00°. Symmetry generates all atoms from Ac at (0.0000, 0.0000, 0.1167), Y at (0.0000, 0.0000, 0.5000), Pt at (0.0000, 0.5000, 0.0000), O at (0.0522, 0.5261, 0.8811) and O at (0.0589, 0.5295, 0.2974).

The density of states at the Fermi level comes out at 0.7797 states/eV per atom. The formation energy (no corrections) comes out at -29.0 eV/f.u. The crystal system is trigonal.

# La2Sn3Pt5

La2Sn3Pt5 after structural relaxation (PBE, Alexandria via LeMat-Bulk).

It has space group Cmc2_1 (No. 36), with a = 4.357 Å, b = 26.200 Å, c = 7.655 Å, α = 90.00°, β = 90.00° and γ = 90.00°. Symmetry generates all atoms from La at (0.000, 0.026, 0.000), La at (0.000, 0.324, 0.118), Sn at (0.000, 0.130, 0.215), Sn at (0.000, 0.280, 0.653), Sn at (0.000, 0.445, 0.204), Pt at (0.000, 0.087, 0.529), Pt at (0.000, 0.200, 0.914), Pt at (0.000, 0.225, 0.359), Pt at (0.000, 0.377, 0.497) and Pt at (0.000, 0.455, 0.804).

For the energy relative to the elements, the calculation gives -79.67 kJ per mole of atoms. The density of states at the Fermi level comes out at 0.4545 states/eV per atom. The crystal system is orthorhombic.

# EuTe2Pb

EuTe2Pb after structural relaxation (PBE, Alexandria via LeMat-Bulk).

It has space group R-3m (No. 166, hexagonal axes), with a = 4.5099 Å, b = 4.5099 Å, c = 29.1333 Å, α = 90.00°, β = 90.00° and γ = 120.00°. Symmetry generates all atoms from Eu at (0.0000, 0.0000, 0.0000), Te at (0.0000, 0.0000, 0.3951) and Pb at (0.0000, 0.0000, 0.5000).

The value obtained for the excess energy over the best structure of this formula in the dataset is 464 meV/atom. The density of states at the Fermi level comes out at 1.9191 states/eV per atom. The formation energy (no corrections) comes out at -2.3 eV/f.u. The crystal system is trigonal.

# CsKSnO3

CsKSnO3 after structural relaxation (PBE, Alexandria via LeMat-Bulk).

It has space group C2/c (No. 15), with a = 6.545 Å, b = 12.785 Å, c = 5.940 Å, α = 90.00°, β = 97.41° and γ = 90.00°. Symmetry generates all atoms from Cs at (0.000, 0.246, 0.250), K at (0.000, 0.086, 0.750), Sn at (0.000, 0.449, 0.750), O at (0.000, 0.295, 0.750) and O at (0.200, 0.475, 0.494).

The density of states at the Fermi level comes out at 0.0000 states/eV per atom. The formation energy (no corrections) comes out at -9.6 eV/f.u. The crystal system is monoclinic.

# ErPuTc4

ErPuTc4 after structural relaxation (PBE, Alexandria via LeMat-Bulk).

It has space group F-43m (No. 216), with a = 7.608 Å, b = 7.608 Å, c = 7.608 Å, α = 90.00°, β = 90.00° and γ = 90.00°. Symmetry generates all atoms from Er at (0.000, 0.000, 0.000), Pu at (0.250, 0.250, 0.250) and Tc at (0.125, 0.125, 0.625).

For the energy relative to the elements, the calculation gives -5.33 kJ per mole of atoms. The density of states at the Fermi level comes out at 1.8986 states/eV per atom. The crystal system is cubic.

# TbAlZn2Ni2

TbAlZn2Ni2 after structural relaxation (PBE, Alexandria via LeMat-Bulk).

It has space group P4/mmm (No. 123), with a = 4.341 Å, b = 4.341 Å, c = 5.600 Å, α = 90.00°, β = 90.00° and γ = 90.00°. Symmetry generates all atoms from Tb at (0.000, 0.000, 0.000), Al at (0.000, 0.000, 0.500), Zn at (0.500, 0.500, 0.244) and Ni at (0.000, 0.500, 0.500).

For the energy relative to the elements, the calculation gives -9.19 kJ per mole of atoms. The density of states at the Fermi level comes out at 0.6758 states/eV per atom. The crystal system is tetragonal.

# Ba2Mg3ScSn4

Ba2Mg3ScSn4 after structural relaxation (PBE, Alexandria via LeMat-Bulk).

It has space group P-4m2 (No. 115), with a = 4.977 Å, b = 4.977 Å, c = 12.112 Å, α = 90.00°, β = 90.00° and γ = 90.00°. Symmetry generates all atoms from Ba at (0.000, 0.500, 0.237), Mg at (0.000, 0.500, 0.870), Mg at (0.500, 0.500, 0.500), Sc at (0.000, 0.000, 0.500), Sn at (0.000, 0.000, 0.000), Sn at (0.000, 0.500, 0.634) and Sn at (0.500, 0.500, 0.000).

For the energy relative to the elements, the calculation gives -49.23 kJ per mole of atoms. The density of states at the Fermi level comes out at 0.4633 states/eV per atom. The crystal system is tetragonal.

# NaHS

NaHS after structural relaxation (PBE, Alexandria via LeMat-Bulk).

It has space group I4mm (No. 107), with a = 4.058 Å, b = 4.058 Å, c = 7.238 Å, α = 90.00°, β = 90.00° and γ = 90.00°. Symmetry generates all atoms from Na at (0.000, 0.000, 0.000), H at (0.000, 0.000, 0.641) and S at (0.000, 0.000, 0.454).

The value obtained for the uncorrected energy is -3.58 eV per atom. The density of states at the Fermi level comes out at 0.0000 states/eV per atom. The crystal system is tetragonal.

# Co2AgPt

Co2AgPt after structural relaxation (PBE, Alexandria via LeMat-Bulk).

It has space group R-3m (No. 166, hexagonal axes), with a = 2.7005 Å, b = 2.7005 Å, c = 26.7101 Å, α = 90.00°, β = 90.00° and γ = 120.00°. Symmetry generates all atoms from Co at (0.0000, 0.0000, 0.2472), Ag at (0.0000, 0.0000, 0.0000) and Pt at (0.0000, 0.0000, 0.5000).

For the energy relative to the elements, the calculation gives 18.50 kJ per mole of atoms. The density of states at the Fermi level comes out at 0.9654 states/eV per atom. The crystal system is trigonal.

# Tm12Cd6Rh

Tm12Cd6Rh after structural relaxation (PBE, Alexandria via LeMat-Bulk).

It has space group R-3 (No. 148, hexagonal axes), with a = 11.1817 Å, b = 11.1817 Å, c = 13.8054 Å, α = 90.00°, β = 90.00° and γ = 120.00°. Symmetry generates all atoms from Tm at (0.0276, 0.8463, 0.3331), Tm at (0.0601, 0.2066, 0.9055), Cd at (0.0280, 0.5965, 0.2075) and Rh at (0.0000, 0.0000, 0.5000).

For the energy relative to the elements, the calculation gives -14.56 kJ per mole of atoms. The density of states at the Fermi level comes out at 1.0138 states/eV per atom. The crystal system is trigonal.

# SiSb4Rh

SiSb4Rh after structural relaxation (PBE, Alexandria via LeMat-Bulk).

It has space group F-43m (No. 216), with a = 8.540 Å, b = 8.540 Å, c = 8.540 Å, α = 90.00°, β = 90.00° and γ = 90.00°. Symmetry generates all atoms from Si at (0.000, 0.000, 0.000), Sb at (0.125, 0.125, 0.375) and Rh at (0.250, 0.250, 0.750).

The density of states at the Fermi level comes out at 1.1668 states/eV per atom. The formation energy (no corrections) comes out at 5.4 eV/f.u. The crystal system is cubic.

# TeIr4Cl

TeIr4Cl after structural relaxation (PBE, Alexandria via LeMat-Bulk).

It has space group F-43m (No. 216), with a = 7.543 Å, b = 7.543 Å, c = 7.543 Å, α = 90.00°, β = 90.00° and γ = 90.00°. Symmetry generates all atoms from Te at (0.000, 0.000, 0.000), Ir at (0.125, 0.125, 0.375) and Cl at (0.250, 0.250, 0.750).

The density of states at the Fermi level comes out at 2.1278 states/eV per atom. The formation energy (no corrections) comes out at 5.6 eV/f.u. The crystal system is cubic.

# KScCd2

KScCd2 after structural relaxation (PBE, Alexandria via LeMat-Bulk).

It has space group C2/m (No. 12), with a = 9.653 Å, b = 3.182 Å, c = 8.017 Å, α = 90.00°, β = 95.72° and γ = 90.00°. Symmetry generates all atoms from K at (0.000, 0.000, 0.000), Sc at (0.000, 0.500, 0.500) and Cd at (0.237, 0.000, 0.684).

The value obtained for the excess energy over the best structure of this formula in the dataset is 168 meV/atom. For the energy relative to the elements, the calculation gives 9.81 kJ per mole of atoms. The density of states at the Fermi level comes out at 0.8300 states/eV per atom. The crystal system is monoclinic.

# Y4Ho7Th

Y4Ho7Th after structural relaxation (PBE, Alexandria via LeMat-Bulk).

It has space group C2/m (No. 12), with a = 12.059 Å, b = 5.912 Å, c = 12.612 Å, α = 90.00°, β = 118.25° and γ = 90.00°. Symmetry generates all atoms from Y at (0.066, 0.000, 0.318), Y at (0.141, 0.500, 0.776), Ho at (0.000, 0.000, 0.000), Ho at (0.132, 0.500, 0.499), Ho at (0.210, 0.000, 0.923), Ho at (0.237, 0.000, 0.676) and Th at (0.000, 0.500, 0.000).

For the energy relative to the elements, the calculation gives 29.84 kJ per mole of atoms. The density of states at the Fermi level comes out at 1.6373 states/eV per atom. The crystal system is monoclinic.

# LaH6Rh2

LaH6Rh2 after structural relaxation (PBE, Alexandria via LeMat-Bulk).

It has space group C2/m (No. 12), with a = 4.822 Å, b = 8.353 Å, c = 4.267 Å, α = 90.00°, β = 90.12° and γ = 90.00°. Symmetry generates all atoms from La at (0.000, 0.000, 0.000), H at (0.001, 0.500, 0.242), H at (0.250, 0.250, 0.242) and Rh at (0.000, 0.333, 0.500).

The value obtained for the uncorrected energy is -4.76 eV per atom. The density of states at the Fermi level comes out at 0.5516 states/eV per atom. The crystal system is monoclinic.